Below is a relaxed structure of GaRh2Br, with properties calculated at the PBE-GGA level.

The structure in POSCAR format:
```
GaRh2Br
1.0
0.000 3.172 3.172
3.172 0.000 3.172
3.172 3.172 0.000
Rh Ga Br
2 1 1
direct
0.250 0.250 0.250
0.750 0.750 0.750
0.000 0.000 0.000
0.500 0.500 0.500
```

Uncorrected energy = -4.5906 eV/atom
Total magnetic moment = 0.16 μB/cell
Raw formation energy = 25 kJ/mol of atoms